# 1
A crystal of Zn3Ni relaxed with PBEsol, computed with meta-GGA SCAN.

## Properties
- Spin magnetization: 0.00 μB per formula unit
- Crystal system: tetragonal
- Uncorrected energy: -14.340 eV per atom
- Space group: I4/mmm (139)
- Formation energy from the elements: -0.160 eV per atom

abc: 3.6026 3.6026 7.6801
angles: 90.00 90.00 90.00
Last column: nearest neighbours and their distance in Å.
Positions (direct):
Zn: 0.0000 0.0000 0.0000  4 Ni 2.55, 8 Zn 2.63
Zn: 0.0000 0.5000 0.2500  8 Zn 2.55-2.63, 4 Ni 2.63
Zn: 0.0000 0.5000 0.7500  8 Zn 2.55-2.63, 4 Ni 2.63
Zn: 0.5000 0.0000 0.2500  8 Zn 2.55-2.63, 4 Ni 2.63
Zn: 0.5000 0.0000 0.7500  8 Zn 2.55-2.63, 4 Ni 2.63
Zn: 0.5000 0.5000 0.5000  4 Ni 2.55, 8 Zn 2.63
Ni: 0.0000 0.0000 0.5000  12 Zn 2.55-2.63
Ni: 0.5000 0.5000 0.0000  12 Zn 2.55-2.63

---

# 2
A crystal of Zn2Ni relaxed with PBEsol, computed with meta-GGA SCAN.

## Properties
- Spin magnetization: 0.27 μB per formula unit
- Crystal system: tetragonal
- Uncorrected energy: -14.550 eV per atom
- Space group: I4/mmm (139)
- Formation energy from the elements: -0.149 eV per atom

abc: 2.7038 2.7038 10.1246
angles: 90.00 90.00 90.00
Last column: nearest neighbours and their distance in Å.
Positions (direct):
Zn: 0.0000 0.0000 0.1553  4 Ni 2.48, 8 Zn 2.70-2.71
Zn: 0.0000 0.0000 0.8447  4 Ni 2.48, 8 Zn 2.70-2.71
Zn: 0.5000 0.5000 0.3447  4 Ni 2.48, 8 Zn 2.70-2.71
Zn: 0.5000 0.5000 0.6553  4 Ni 2.48, 8 Zn 2.70-2.71
Ni: 0.0000 0.0000 0.5000  8 Zn 2.48, 4 Ni 2.70
Ni: 0.5000 0.5000 0.0000  8 Zn 2.48, 4 Ni 2.70

---

# 3
A crystal of ZnNi4 relaxed with PBEsol, computed with meta-GGA SCAN.

## Properties
- ΔE to the lowest computed polymorph: 55 meV/atom
- Spin magnetization: 2.56 μB per formula unit
- Crystal system: trigonal
- Uncorrected energy: -15.659 eV per atom
- Space group: R-3m (166)
- Formation energy from the elements: -0.017 eV per atom

abc: 2.4936 2.4936 30.0639
angles: 90.00 90.00 120.00
Last column: nearest neighbours and their distance in Å.
Positions (direct):
Zn: 0.0000 0.0000 0.0000  6 Zn 2.49, 6 Ni 2.50
Zn: 0.3333 0.6667 0.6667  6 Zn 2.49, 6 Ni 2.50
Zn: 0.6667 0.3333 0.3333  6 Zn 2.49, 6 Ni 2.50
Ni: 0.0000 0.0000 0.1995  12 Ni 2.44-2.49
Ni: 0.0000 0.0000 0.4014  9 Ni 2.45-2.49, 3 Zn 2.50
Ni: 0.0000 0.0000 0.5986  9 Ni 2.45-2.49, 3 Zn 2.50
Ni: 0.0000 0.0000 0.8005  12 Ni 2.44-2.49
Ni: 0.3333 0.6667 0.0681  9 Ni 2.45-2.49, 3 Zn 2.50
Ni: 0.3333 0.6667 0.2652  9 Ni 2.45-2.49, 3 Zn 2.50
Ni: 0.3333 0.6667 0.4672  12 Ni 2.44-2.49
Ni: 0.3333 0.6667 0.8661  12 Ni 2.44-2.49
Ni: 0.6667 0.3333 0.1339  12 Ni 2.44-2.49
Ni: 0.6667 0.3333 0.5328  12 Ni 2.44-2.49
Ni: 0.6667 0.3333 0.7348  9 Ni 2.45-2.49, 3 Zn 2.50
Ni: 0.6667 0.3333 0.9319  9 Ni 2.45-2.49, 3 Zn 2.50

---

# 4
A crystal of Zn3Ni relaxed with PBEsol, computed with meta-GGA SCAN.

## Properties
- Spin magnetization: 0.00 μB per formula unit
- Crystal system: hexagonal
- Uncorrected energy: -14.337 eV per atom
- Space group: P6_3/mmc (194)
- Formation energy from the elements: -0.157 eV per atom

abc: 5.2288 5.2288 4.2067
angles: 90.00 90.00 120.00
Last column: nearest neighbours and their distance in Å.
Positions (direct):
Zn: 0.1703 0.3406 0.2500  8 Zn 2.56-2.67, 4 Ni 2.57-2.61
Zn: 0.1703 0.8297 0.2500  8 Zn 2.56-2.67, 4 Ni 2.57-2.61
Zn: 0.3406 0.1703 0.7500  8 Zn 2.56-2.67, 4 Ni 2.57-2.61
Zn: 0.6594 0.8297 0.2500  8 Zn 2.56-2.67, 4 Ni 2.57-2.61
Zn: 0.8297 0.1703 0.7500  8 Zn 2.56-2.67, 4 Ni 2.57-2.61
Zn: 0.8297 0.6594 0.7500  8 Zn 2.56-2.67, 4 Ni 2.57-2.61
Ni: 0.3333 0.6667 0.7500  12 Zn 2.57-2.61
Ni: 0.6667 0.3333 0.2500  12 Zn 2.57-2.61

---

# 5
A crystal of Zn3Ni relaxed with PBEsol, computed with meta-GGA SCAN.

## Properties
- Spin magnetization: 0.00 μB per formula unit
- Crystal system: orthorhombic
- Uncorrected energy: -14.296 eV per atom
- Space group: Pmmm (47)
- Formation energy from the elements: -0.116 eV per atom

abc: 2.6544 3.5380 5.3575
angles: 90.00 90.00 90.00
Last column: nearest neighbours and their distance in Å.
Positions (direct):
Zn: 0.0000 0.0000 0.0000  10 Zn 2.63-2.65, 2 Ni 2.68
Zn: 0.5000 0.5000 0.2672  7 Zn 2.49-2.65, 4 Ni 2.54
Zn: 0.5000 0.5000 0.7328  7 Zn 2.49-2.65, 4 Ni 2.54
Ni: 0.0000 0.0000 0.5000  10 Zn 2.54-2.68, 2 Ni 2.65

---

# 6
A crystal of ZnNi relaxed with PBEsol, computed with meta-GGA SCAN.

## Properties
- Spin magnetization: 0.00 μB per formula unit
- Crystal system: orthorhombic
- Uncorrected energy: -14.979 eV per atom
- Space group: Imma (74)
- Formation energy from the elements: -0.135 eV per atom

abc: 2.7135 4.0815 8.3745
angles: 90.00 90.00 90.00
Last column: nearest neighbours and their distance in Å.
Positions (direct):
Zn: 0.0000 0.2500 0.1197  6 Ni 2.45-2.47, 4 Zn 2.57-2.71
Zn: 0.0000 0.7500 0.8803  6 Ni 2.45-2.47, 4 Zn 2.57-2.71
Zn: 0.5000 0.2500 0.3803  6 Ni 2.45-2.47, 4 Zn 2.57-2.71
Zn: 0.5000 0.7500 0.6197  6 Ni 2.45-2.47, 4 Zn 2.57-2.71
Ni: 0.0000 0.2500 0.6265  6 Zn 2.45-2.47, 4 Ni 2.47-2.71
Ni: 0.0000 0.7500 0.3735  6 Zn 2.45-2.47, 4 Ni 2.47-2.71
Ni: 0.5000 0.2500 0.8735  6 Zn 2.45-2.47, 4 Ni 2.47-2.71
Ni: 0.5000 0.7500 0.1265  6 Zn 2.45-2.47, 4 Ni 2.47-2.71

---

Which value of formation energy from the elements does entry 2 give?
-0.149 eV per atom